Density functional theory data (PBE) for a geometry-optimized ErSiO3 structure.

The structure in CIF format:
```
data_ErSiO3
_chemical_formula_sum 'Er4 Si4 O12'
_cell_length_a 5.2095
_cell_length_b 5.2075
_cell_length_c 7.2591
_cell_angle_alpha 90.00
_cell_angle_beta 90.00
_cell_angle_gamma 90.00
_space_group_name_H-M_alt 'P 1'
_space_group_IT_number 1
loop_
_space_group_symop_operation_xyz
'x,y,z'
loop_
_atom_site_label
_atom_site_type_symbol
_atom_site_fract_x
_atom_site_fract_y
_atom_site_fract_z
O1 O 0.7456 0.2544 0.0195
O2 O 0.2456 0.2456 0.5195
O3 O 0.2544 0.7456 0.9805
O4 O 0.0378 0.4990 0.2500
O5 O 0.5378 0.0010 0.7500
O6 O 0.7544 0.7544 0.0195
O7 O 0.4622 0.9990 0.2500
O8 O 0.7456 0.2544 0.4805
O9 O 0.2456 0.2456 0.9805
O10 O 0.7544 0.7544 0.4805
O11 O 0.9622 0.5010 0.7500
O12 O 0.2544 0.7456 0.5195
Si1 Si 0.0000 0.5000 0.5000
Si2 Si 0.0000 0.5000 0.0000
Si3 Si 0.5000 0.0000 0.0000
Si4 Si 0.5000 0.0000 0.5000
Er1 Er 0.9989 0.0033 0.2500
Er2 Er 0.5011 0.5033 0.2500
Er3 Er 0.0011 0.9968 0.7500
Er4 Er 0.4989 0.4967 0.7500
```

Computed properties:
space group: Pnma
electronic total energy: -146.46 eV/cell
calculated density: 8208 kg/m3